1.
CoH20S2N2O14 GGA-PBEsol optimized geometry; magnetic moment = 0.08 μB/atom; raw total energy = -5.464 eV per atom
1.0
-3.7430 4.8201 1.3578
-5.2686 -7.0022 -2.1991
-0.2483 -3.4986 11.7352
Co H N S O
2 40 4 4 28
Direct
0.0000 0.5000 0.5000 Co
0.0000 0.0000 0.0000 Co
0.1927 0.0691 0.6722 H
0.0053 0.1405 0.1904 H
0.3978 0.7350 0.7899 H
0.6798 0.9801 0.8513 H
0.9947 0.8595 0.8096 H
0.0053 0.6405 0.3096 H
0.6736 0.2787 0.4129 H
0.3792 0.1711 0.5783 H
0.9947 0.3595 0.6904 H
0.6798 0.4801 0.6487 H
0.6022 0.7650 0.2899 H
0.3264 0.2213 0.9129 H
0.6208 0.3289 0.0783 H
0.0578 0.7704 0.4033 H
0.5403 0.4320 0.1806 H
0.4597 0.5680 0.8194 H
0.9422 0.2296 0.5967 H
0.6601 0.0981 0.9443 H
0.3399 0.9019 0.0557 H
0.9041 0.2423 0.3806 H
0.0578 0.2704 0.0967 H
0.4597 0.0680 0.6806 H
0.9422 0.7296 0.9033 H
0.3264 0.7213 0.5871 H
0.3792 0.6711 0.9217 H
0.3399 0.4019 0.4443 H
0.0959 0.7577 0.6194 H
0.3202 0.5199 0.3513 H
0.6601 0.5981 0.5557 H
0.3978 0.2350 0.7101 H
0.1927 0.5691 0.8278 H
0.6022 0.2650 0.2101 H
0.8073 0.9309 0.3278 H
0.6736 0.7787 0.0871 H
0.0959 0.2577 0.8806 H
0.5403 0.9320 0.3194 H
0.9041 0.7423 0.1194 H
0.8073 0.4309 0.1722 H
0.3202 0.0199 0.1487 H
0.6208 0.8289 0.4217 H
0.6422 0.3627 0.1605 N
0.6422 0.8627 0.3395 N
0.3578 0.1373 0.6605 N
0.3578 0.6373 0.8395 N
0.7388 0.4133 0.8705 S
0.7388 0.9133 0.6295 S
0.2612 0.5867 0.1295 S
0.2612 0.0867 0.3705 S
0.7930 0.0546 0.5625 O
0.2070 0.4454 0.0625 O
0.8337 0.8261 0.1090 O
0.3882 0.2224 0.4386 O
0.9657 0.1613 0.1143 O
0.3882 0.7224 0.0614 O
0.6118 0.2776 0.9386 O
0.0343 0.3387 0.6143 O
0.1663 0.1739 0.8910 O
0.4093 0.0735 0.2770 O
0.1663 0.6739 0.6090 O
0.9464 0.8860 0.6737 O
0.6118 0.7776 0.5614 O
0.5907 0.4265 0.7770 O
0.8337 0.3261 0.3910 O
0.9657 0.6613 0.3857 O
0.9464 0.3860 0.8263 O
0.0343 0.8387 0.8857 O
0.7008 0.0012 0.9312 O
0.0536 0.6140 0.1737 O
0.7930 0.5546 0.9375 O
0.0536 0.1140 0.3263 O
0.2992 0.4988 0.4312 O
0.5907 0.9265 0.7230 O
0.7008 0.5012 0.5688 O
0.4093 0.5735 0.2230 O
0.2992 0.9988 0.0688 O
0.2070 0.9454 0.4375 O



2.
FeSiAg GGA-PBEsol optimized geometry; raw formation energy = 0.5 eV per formula unit; magnetic moment = 0.43 μB/atom; raw total energy = -5.855 eV per atom; energy relative to the lowest polymorph listed for this composition = 106 meV/atom
1.0
-0.0761 2.2813 1.6512
-3.2498 1.3383 -1.9986
-0.4560 -2.3654 3.2471
Fe Ag Si
1 1 1
Direct
0.4987 0.3333 0.6667 Fe
0.9991 0.0000 0.0000 Ag
0.5022 0.6667 0.3333 Si



3.
CsMgBi3 GGA-PBEsol optimized geometry; magnetic moment = 0.00 μB/atom; calculated formation energy = 0.29 eV per formula unit; raw total energy = -3.046 eV per atom
1.0
-2.3598 0.8501 5.0614
-5.0470 -1.3953 -2.1187
0.9313 -5.4073 1.3425
Bi Mg Cs
3 1 1
Direct
0.5000 0.0000 0.0000 Bi
0.0000 0.5000 0.0000 Bi
0.0000 0.0000 0.5000 Bi
0.0000 0.0000 0.0000 Mg
0.5000 0.5000 0.5000 Cs



4.
RbFeNi3 GGA-PBEsol optimized geometry; magnetic moment = 0.90 μB/atom; calculated formation energy = 5.36 eV per formula unit; raw total energy = -4.620 eV per atom; energy relative to the lowest polymorph listed for this composition = 0 meV/atom
1.0
-0.2327 -2.1999 3.8687
4.4352 -0.4354 0.0192
0.3685 3.8512 2.2121
Ni Rb Fe
3 1 1
Direct
0.5000 0.0000 0.0000 Ni
0.0000 0.5000 0.0000 Ni
0.0000 0.0000 0.5000 Ni
0.5000 0.5000 0.5000 Rb
0.0000 0.0000 0.0000 Fe



5.
Ca2Zn2P GGA-PBEsol optimized geometry; magnetic moment = 0.00 μB/atom; calculated formation energy = -2.11 eV per formula unit; raw total energy = -3.066 eV per atom
1.0
4.1348 0.0000 0.0000
-2.0674 3.5809 0.0000
0.0000 0.0000 8.5815
Ca Zn P
2 2 1
Direct
0.6667 0.3333 0.8311 Ca
0.3333 0.6667 0.1689 Ca
0.6667 0.3333 0.4536 Zn
0.3333 0.6667 0.5464 Zn
0.0000 0.0000 0.0000 P



6.
SrCa2Cl GGA-PBEsol optimized geometry; raw formation energy = -2.8 eV per formula unit; magnetic moment = 0.00 μB/atom; raw total energy = -2.736 eV per atom; energy relative to the lowest polymorph listed for this composition = 47 meV/atom
1.0
3.7885 0.0000 0.0000
0.0000 3.7885 0.0000
0.0000 0.0000 10.6782
Sr Ca Cl
1 2 1
Direct
0.5000 0.5000 0.6990 Sr
0.0000 0.0000 0.9917 Ca
0.5000 0.5000 0.2474 Ca
0.0000 0.0000 0.5619 Cl



7.
Ba3Ta GGA-PBEsol optimized geometry; magnetic moment = 0.00 μB/atom; calculated formation energy = 3.88 eV per formula unit; raw total energy = -3.780 eV per atom; energy relative to the lowest polymorph listed for this composition = 69 meV/atom
1.0
3.4607 0.0000 0.0000
0.0000 5.6125 0.0000
0.0000 0.0000 7.3120
Ba Ta
3 1
Direct
0.0000 0.0000 0.0754 Ba
0.5000 0.5000 0.8140 Ba
0.5000 0.0000 0.5019 Ba
0.0000 0.5000 0.2753 Ta



8.
CoHgSb2Te GGA-PBEsol optimized geometry; raw formation energy = 7.2 eV per formula unit; magnetic moment = 0.48 μB/atom; raw total energy = -2.742 eV per atom
1.0
-2.3732 -4.5105 1.7531
3.9808 -2.9299 -2.1493
2.8263 0.3579 4.7468
Hg Sb Te Co
1 2 1 1
Direct
0.0000 0.0000 0.0000 Hg
0.5000 0.0000 0.0000 Sb
0.0000 0.5000 0.0000 Sb
0.0000 0.0000 0.5000 Te
0.5000 0.5000 0.5000 Co



9.
Sc2TaAs GGA-PBEsol optimized geometry; magnetic moment = 0.00 μB/atom; calculated formation energy = -1.21 eV per formula unit; raw total energy = -8.020 eV per atom
1.0
3.2406 0.0000 0.0000
0.0000 4.8790 0.0096
-1.6203 -1.5334 4.8370
As Sc Ta
1 2 1
Direct
0.2306 0.7703 0.4611 As
0.9745 0.9480 0.9490 Sc
0.7645 0.2860 0.5289 Sc
0.5305 0.4956 0.0609 Ta



10.
YTlSe2Br GGA-PBEsol optimized geometry; raw formation energy = -4.8 eV per formula unit; magnetic moment = 0.00 μB/atom; raw total energy = -4.760 eV per atom
1.0
-0.6382 4.9732 2.0065
-5.0227 0.1537 -1.9787
-1.9350 -2.1622 4.7439
Se Tl Br Y
2 1 1 1
Direct
0.5000 0.0000 0.0000 Se
0.0000 0.5000 0.0000 Se
0.5000 0.5000 0.5000 Tl
0.0000 0.0000 0.5000 Br
0.0000 0.0000 0.0000 Y



11.
Na3TiGe GGA-PBEsol optimized geometry; magnetic moment = 0.59 μB/atom; calculated formation energy = 6.69 eV per formula unit; raw total energy = -2.155 eV per atom
1.0
-2.5142 -0.8215 4.7926
4.0639 -3.3176 1.5632
2.6700 4.2760 2.1336
Na Ge Ti
3 1 1
Direct
0.0000 0.0000 0.5000 Na
0.0000 0.5000 0.0000 Na
0.5000 0.0000 0.0000 Na
0.5000 0.5000 0.5000 Ge
0.0000 0.0000 0.0000 Ti



12.
ZrBeSb2 GGA-PBEsol optimized geometry; raw formation energy = -0.1 eV per formula unit; magnetic moment = 0.00 μB/atom; raw total energy = -5.579 eV per atom
1.0
-0.0011 0.7593 3.0307
-2.1481 -2.2009 0.5506
6.3342 -5.8169 1.4597
Be Sb Zr
1 2 1
Direct
0.5000 0.5000 0.7407 Be
0.5000 0.5000 0.2911 Sb
0.0000 0.0000 0.9151 Sb
0.0000 0.0000 0.5530 Zr